Computed, not measured: an optimized crystal structure of RhWO4 at the PBE with a Hubbard U level of DFT.

- ρ: 8.4 g cm⁻³
- VASP energy: -7.196 eV/atom
- Total moment: 0.99 μB per formula unit

CIF file:
```
data_RhWO4
_cell_length_a 6.603
_cell_length_b 6.603
_cell_length_c 6.349
_cell_angle_alpha 90.00
_cell_angle_beta 90.00
_cell_angle_gamma 90.00
_symmetry_space_group_name_H-M 'I 41 m d'
_symmetry_Int_Tables_number 109
_symmetry_space_group_name_Hall 'I 4bw -2'
loop_
_atom_site_label
_atom_site_type_symbol
_atom_site_fract_x
_atom_site_fract_y
_atom_site_fract_z
Rh1 Rh 0.000 0.000 0.000
W1 W 0.000 0.000 0.507
O1 O 0.000 0.301 0.504
O2 O 0.000 0.308 0.996
```